{"formula": "Hf2Ge3Mo4N3", "functional": "PBE", "state": "optimized geometry", "cell": [[0.1300, -0.1096, 5.5025], [-4.4122, -1.7679, 2.7772], [5.9478, -11.1834, -3.1085]], "species": ["Ge", "Ge", "Ge", "Ge", "Ge", "Ge", "Hf", "Hf", "Hf", "Hf", "Mo", "Mo", "Mo", "Mo", "Mo", "Mo", "Mo", "Mo", "N", "N", "N", "N", "N", "N"], "frac_coords": [[0.7971, 0.5780, 0.2481], [0.0435, 0.9565, 0.2500], [0.4220, 0.2029, 0.2519], [0.5780, 0.7971, 0.7481], [0.9565, 0.0435, 0.7500], [0.2029, 0.4220, 0.7519], [0.3561, 0.5321, 0.1008], [0.4679, 0.6439, 0.3992], [0.5321, 0.3561, 0.6008], [0.6439, 0.4679, 0.8992], [0.6946, 0.8831, 0.0852], [0.0522, 0.1755, 0.0856], [0.8245, 0.9478, 0.4144], [0.1169, 0.3054, 0.4148], [0.8831, 0.6946, 0.5852], [0.1755, 0.0522, 0.5856], [0.9478, 0.8245, 0.9144], [0.3054, 0.1169, 0.9148], [0.0000, 0.5000, 0.0000], [0.3465, 0.8049, 0.0004], [0.1951, 0.6535, 0.4996], [0.5000, 0.0000, 0.5000], [0.8049, 0.3465, 0.5004], [0.6535, 0.1951, 0.9996]], "density_g_cm3": 9.96, "e_tot_ev_per_cell": -216.25}